(1)
The following is a DFT calculation (PBE) of TlIrPb2 after structural relaxation.

Cell: 5.165 5.165 5.165 Å, 60.00 60.00 60.00°
Fractional coordinates of all 4 atoms:
Tl (0.000, 0.000, 0.000)
Ir (0.500, 0.500, 0.500)
Pb (0.250, 0.250, 0.250)
Pb (0.750, 0.750, 0.750)

## Properties
Theoretical density in kg/m3: 13824
Calculated volume in Å³ per atom: 24.354
DFT total energy in eV per formula unit: -16.91
ΔH_f (0 K) in eV per atom: 0.434
Magnetic moment in μB per formula unit: 0.000



(2)
The following is a DFT calculation (PBE) of Gd2ThPb after structural relaxation.

Cell: 12.190 12.190 12.190 Å, 16.83 16.83 16.83°
Fractional coordinates of all 4 atoms:
Gd (0.089, 0.089, 0.089)
Gd (0.911, 0.911, 0.911)
Th (0.500, 0.500, 0.500)
Pb (0.000, 0.000, 0.000)

## Properties
Theoretical density in kg/m3: 9445
Calculated volume in Å³ per atom: 33.128
DFT total energy in eV per formula unit: -39.14
ΔH_f (0 K) in eV per atom: 0.036
Magnetic moment in μB per formula unit: 14.123



Number 1: excess energy over the best structure of this formula in the dataset 246.3 meV/atom. Number 2: excess energy over the best structure of this formula in the dataset 280.3 meV/atom.